VASP calculation (GGA-PBE) on a geometry-optimized LaMgIn structure.

Calculated values
energy of formation = -1.0 eV/f.u.
N(E_F) = 2.18 states/eV/cell
spin magnetization = 0.00 μB/f.u.

abc: 4.9285 4.6102 7.6087
angles: 72.53 90.00 90.00
Atoms (fractional coordinates):
Mg 0.8253 0.0013 0.3423
In 0.3253 0.8663 0.6134
In 0.8253 0.6343 0.0747
Mg 0.3253 0.4993 0.3459
La 0.3253 0.1694 0.0028
La 0.8253 0.3312 0.6853